Material: NaLuZrPd
Method: DFT, PBE
State: optimized geometry

a = 6.9701 Å, b = 6.9701 Å, c = 6.9701 Å
α = 90.00°, β = 90.00°, γ = 90.00°
Last column: nearest neighbours and their distance in Å.
Space group F-43m (No. 216)
One atom of each set of equivalent atoms:
Na 0.0000 0.0000 0.0000 (multiplicity 4)  4 Lu 3.02, 4 Pd 3.02
Lu 0.2500 0.2500 0.7500 (multiplicity 4)  4 Zr 3.02, 4 Na 3.02
Zr 0.0000 0.0000 0.5000 (multiplicity 4)  4 Pd 3.02, 4 Lu 3.02
Pd 0.2500 0.2500 0.2500 (multiplicity 4)  4 Na 3.02, 4 Zr 3.02

Output
Energy relative to the lowest polymorph listed for this composition: 175 meV/atom
Calculated density: 7.760 g/cm³
E_tot: -0.1729 Ha/atom

---

Material: NaLuZrPd
Method: DFT, PBE
State: optimized geometry

a = 6.9898 Å, b = 6.9898 Å, c = 6.9898 Å
α = 90.00°, β = 90.00°, γ = 90.00°
Last column: nearest neighbours and their distance in Å.
Space group F-43m (No. 216)
One atom of each set of equivalent atoms:
Na 0.0000 0.0000 0.0000 (multiplicity 4)  4 Lu 3.03, 4 Zr 3.03
Lu 0.2500 0.2500 0.2500 (multiplicity 4)  4 Na 3.03, 4 Pd 3.03
Zr 0.2500 0.2500 0.7500 (multiplicity 4)  4 Na 3.03, 4 Pd 3.03
Pd 0.0000 0.0000 0.5000 (multiplicity 4)  4 Zr 3.03, 4 Lu 3.03

Output
Energy relative to the lowest polymorph listed for this composition: 0 meV/atom
Calculated density: 7.694 g/cm³
E_tot: -0.1793 Ha/atom

---

Material: NaLuPt
Method: DFT, PBE
State: optimized geometry

a = 6.6191 Å, b = 6.6191 Å, c = 6.6191 Å
α = 90.00°, β = 90.00°, γ = 90.00°
Last column: nearest neighbours and their distance in Å.
Space group F-43m (No. 216)
One atom of each set of equivalent atoms:
Na 0.0000 0.0000 0.0000 (multiplicity 4)  4 Pt 2.87
Lu 0.0000 0.0000 0.5000 (multiplicity 4)  4 Pt 2.87
Pt 0.2500 0.2500 0.7500 (multiplicity 4)  4 Lu 2.87, 4 Na 2.87

Output
Energy relative to the lowest polymorph listed for this composition: 0 meV/atom
Calculated density: 9.002 g/cm³
E_tot: -0.1661 Ha/atom

---

Material: NaLuPt
Method: DFT, PBE
State: optimized geometry

a = 6.6128 Å, b = 6.6128 Å, c = 6.6128 Å
α = 90.00°, β = 90.00°, γ = 90.00°
Last column: nearest neighbours and their distance in Å.
Space group F-43m (No. 216)
One atom of each set of equivalent atoms:
Na 0.0000 0.0000 0.0000 (multiplicity 4)  4 Lu 2.86
Lu 0.2500 0.2500 0.2500 (multiplicity 4)  4 Na 2.86, 4 Pt 2.86
Pt 0.0000 0.0000 0.5000 (multiplicity 4)  4 Lu 2.86

Output
Energy relative to the lowest polymorph listed for this composition: 362 meV/atom
Calculated density: 9.028 g/cm³
E_tot: -0.1528 Ha/atom